--- i ---
An optimized crystal structure of ZrSnN2F, computed with PBE.

Computed properties:
Calculated density, g/cm³: 6.239
V, Å³/f.u.: 68.39
SG: No. 123

Cell lengths 4.145, 4.145, 3.980 Å; angles 90.00, 90.00, 90.00 degrees
Sites, in units of the cell vectors:
Zr 0.000 0.000 0.000
Sn 0.500 0.500 0.500
N 0.000 0.500 0.500
N 0.500 0.000 0.500
F 0.500 0.500 0.000



--- ii ---
An optimized crystal structure of ZrSnN2F, computed with PBE.

Computed properties:
Calculated density, g/cm³: 5.489
V, Å³/f.u.: 77.73
SG: No. 123

Cell lengths 4.304, 4.304, 4.196 Å; angles 90.00, 90.00, 90.00 degrees
Sites, in units of the cell vectors:
Zr 0.000 0.000 0.000
Sn 0.500 0.500 0.500
N 0.000 0.500 0.000
N 0.500 0.000 0.000
F 0.000 0.000 0.500



Short version: i is the least stable of them.



--- i ---
An optimized crystal structure of SrTaN2F, computed with PBE.

Computed properties:
Calculated density, g/cm³: 6.177
V, Å³/f.u.: 84.84
SG: No. 123

Cell lengths 4.516, 4.516, 4.159 Å; angles 90.00, 90.00, 90.00 degrees
Sites, in units of the cell vectors:
Sr 0.000 0.000 0.000
Ta 0.500 0.500 0.500
N 0.000 0.500 0.000
N 0.500 0.000 0.000
F 0.000 0.000 0.500



--- ii ---
An optimized crystal structure of SrTaN2F, computed with PBE.

Computed properties:
Calculated density, g/cm³: 7.436
V, Å³/f.u.: 70.47
SG: No. 123

Cell lengths 4.130, 4.130, 4.131 Å; angles 90.00, 90.00, 90.00 degrees
Sites, in units of the cell vectors:
Sr 0.000 0.000 0.000
Ta 0.500 0.500 0.500
N 0.000 0.500 0.500
N 0.500 0.000 0.500
F 0.500 0.500 0.000



Short version: i is the least stable of them.



--- i ---
An optimized crystal structure of SrTcNF2, computed with PBE.

Computed properties:
Calculated density, g/cm³: 3.899
V, Å³/f.u.: 101.20
SG: No. 123

Cell lengths 4.441, 4.441, 5.132 Å; angles 90.00, 90.00, 90.00 degrees
Sites, in units of the cell vectors:
Sr 0.000 0.000 0.000
Tc 0.500 0.500 0.500
N 0.000 0.000 0.500
F 0.000 0.500 0.000
F 0.500 0.000 0.000



--- ii ---
An optimized crystal structure of SrTcNF2, computed with PBE.

Computed properties:
Calculated density, g/cm³: 5.476
V, Å³/f.u.: 72.06
SG: No. 123

Cell lengths 4.289, 4.289, 3.917 Å; angles 90.00, 90.00, 90.00 degrees
Sites, in units of the cell vectors:
Sr 0.000 0.000 0.000
Tc 0.500 0.500 0.500
N 0.500 0.500 0.000
F 0.000 0.500 0.500
F 0.500 0.000 0.500



Short version: i is the least stable of them.



--- i ---
An optimized crystal structure of SrTeNF2, computed with PBE.

Computed properties:
Calculated density, g/cm³: 3.955
V, Å³/f.u.: 112.20
SG: No. 123

Cell lengths 4.500, 4.500, 5.541 Å; angles 90.00, 90.00, 90.00 degrees
Sites, in units of the cell vectors:
Sr 0.000 0.000 0.000
Te 0.500 0.500 0.500
N 0.000 0.000 0.500
F 0.000 0.500 0.000
F 0.500 0.000 0.000



--- ii ---
An optimized crystal structure of SrTeNF2, computed with PBE.

Computed properties:
Calculated density, g/cm³: 4.617
V, Å³/f.u.: 96.12
SG: No. 123

Cell lengths 4.779, 4.779, 4.208 Å; angles 90.00, 90.00, 90.00 degrees
Sites, in units of the cell vectors:
Sr 0.000 0.000 0.000
Te 0.500 0.500 0.500
N 0.500 0.500 0.000
F 0.000 0.500 0.500
F 0.500 0.000 0.500



Short version: i is the least stable of them.



--- i ---
An optimized crystal structure of SrTiN2F, computed with PBE.

Computed properties:
Calculated density, g/cm³: 4.583
V, Å³/f.u.: 66.12
SG: No. 123

Cell lengths 3.988, 3.988, 4.158 Å; angles 90.00, 90.00, 90.00 degrees
Sites, in units of the cell vectors:
Sr 0.000 0.000 0.000
Ti 0.500 0.500 0.500
N 0.000 0.500 0.500
N 0.500 0.000 0.500
F 0.500 0.500 0.000



--- ii ---
An optimized crystal structure of SrTiN2F, computed with PBE.

Computed properties:
Calculated density, g/cm³: 3.103
V, Å³/f.u.: 97.67
SG: No. 123

Cell lengths 4.723, 4.723, 4.379 Å; angles 90.00, 90.00, 90.00 degrees
Sites, in units of the cell vectors:
Sr 0.000 0.000 0.000
Ti 0.500 0.500 0.500
N 0.000 0.500 0.000
N 0.500 0.000 0.000
F 0.000 0.000 0.500



Short version: ii is the least stable of them.